# Li3MnO2F2

Li3MnO2F2 after structural relaxation (PBE+U, Alexandria).

abc: 5.807 8.853 2.861
angles: 90.00 90.00 90.00
Atoms (fractional coordinates):
Li (0.000, 0.000, 0.000)
Li (0.250, 0.250, 0.500)
Li (0.250, 0.750, 0.500)
Li (0.500, 0.500, 0.000)
Li (0.750, 0.250, 0.500)
Li (0.750, 0.750, 0.500)
Mn (0.000, 0.500, 0.000)
Mn (0.500, 0.000, 0.000)
O (0.227, 0.500, 0.500)
O (0.273, 0.000, 0.500)
O (0.727, 0.000, 0.500)
O (0.773, 0.500, 0.500)
F (0.000, 0.240, 0.000)
F (0.000, 0.760, 0.000)
F (0.500, 0.260, 0.000)
F (0.500, 0.740, 0.000)

Properties
Fermi-level density of states (states/eV per cell): 0.0
Magnetization (μB/cell): 8.0
ΔE to the lowest computed polymorph (eV/atom): 0.000
Total energy (eV per cell): -91.35
SG: Cmmm